No. 1
## Na7Hg2Bi2 (PBE)

Data for an optimized crystal structure of Na7Hg2Bi2.

Results
Magnetic moment: 0.00 μB per formula unit
V: 329 Å³/f.u.
Final energy: -0.139 Ry/atom

Lattice parameters (Å, degrees): 5.2223 14.2965 8.8123 90.00 90.00 90.00
Space group Imm2 (No. 44)
Inequivalent atoms, fractional coordinates:
Na 0.0000 0.0000 0.0000 (multiplicity 2)
Na 0.0000 0.1502 0.3578 (multiplicity 4)
Na 0.0000 0.3333 0.5941 (multiplicity 4)
Na 0.0000 0.3607 0.1779 (multiplicity 4)
Hg 0.0000 0.0000 0.6235 (multiplicity 2)
Hg 0.0000 0.5000 0.8588 (multiplicity 2)
Bi 0.0000 0.2056 0.8919 (multiplicity 4)

---

No. 2
## Na5Hg4Bi (PBE)

Data for an optimized crystal structure of Na5Hg4Bi.

Results
Magnetic moment: 0.00 μB per formula unit
V: 267 Å³/f.u.
Final energy: -0.105 Ry/atom

Lattice parameters (Å, degrees): 3.7035 3.7035 19.4488 90.00 90.00 90.00
Space group P4/mmm (No. 123)
Inequivalent atoms, fractional coordinates:
Na 0.0000 0.0000 0.0000 (multiplicity 1)
Na 0.0000 0.0000 0.1932 (multiplicity 2)
Na 0.0000 0.0000 0.3931 (multiplicity 2)
Hg 0.5000 0.5000 0.0959 (multiplicity 2)
Hg 0.5000 0.5000 0.2886 (multiplicity 2)
Bi 0.5000 0.5000 0.5000 (multiplicity 1)

---

No. 3
## NaHgBi4 (PBE)

Data for an optimized crystal structure of NaHgBi4.

Results
ΔE to the lowest computed polymorph: 0.00 eV per formula unit
Magnetic moment: 0.00 μB per formula unit
V: 189 Å³/f.u.
Final energy: -0.216 Ry/atom

Lattice parameters (Å, degrees): 6.8251 19.7294 5.6197 90.00 90.00 90.00
Space group Cmcm (No. 63)
Inequivalent atoms, fractional coordinates:
Na 0.0000 0.1228 0.2500 (multiplicity 4)
Hg 0.0000 0.3731 0.7500 (multiplicity 4)
Bi 0.2318 0.2909 0.2500 (multiplicity 8)
Bi 0.2429 0.4590 0.2500 (multiplicity 8)